First-principles (PBE-GGA) data for a relaxed structure of B2Mo5As, as listed in Alexandria.

## Properties
Crystal system = tetragonal
VASP energy = -297.92 eV per cell
Calculated formation energy = -290 meV per atom

Lattice parameters (Å, degrees): 6.1062 6.1062 11.2039 90.00 90.00 90.00
Space group I4/mcm (No. 140)
Unique sites:
B1 0.1260 0.3740 0.0000 [8 per cell]
Mo1 0.0000 0.0000 0.0000 [4 per cell]
Mo2 0.1593 0.3407 0.3629 [16 per cell]
As1 0.0000 0.0000 0.2500 [4 per cell]